# 1
Computed, not measured: a crystal of BaZrCd2 relaxed with PBEsol at the meta-GGA SCAN level of DFT.

Calculated volume in A^3/atom: 26.06
Excess energy over the best structure of this formula in the dataset in meV per atom: 0
DFT formation energy in eV/atom: 0.0373
Density of states at the Fermi level in states/eV per atom: 0.696

Unit cell a=5.648 b=5.648 c=3.268 alpha=90.00 beta=90.00 gamma=90.00
Space group P4/mmm (No. 123)
Asymmetric unit:
Ba 0.000 0.000 0.000 [1 per cell]
Zr 0.500 0.500 0.000 [1 per cell]
Cd 0.000 0.500 0.500 [2 per cell]



# 2
Computed, not measured: a crystal of BaCe2FeS5 relaxed with PBEsol at the meta-GGA SCAN level of DFT.

Calculated volume in A^3/atom: 21.33
Density of states at the Fermi level in states/eV per atom: 0.717
Uncorrected formation energy in meV per atom: -1957.4

Unit cell a=7.662 b=7.662 c=13.078 alpha=90.00 beta=90.00 gamma=90.00
Space group I4/mcm (No. 140)
Asymmetric unit:
Ba 0.000 0.000 0.250 [4 per cell]
Ce 0.160 0.340 0.000 [8 per cell]
Fe 0.000 0.500 0.250 [4 per cell]
S 0.000 0.000 0.000 [4 per cell]
S 0.150 0.350 0.364 [16 per cell]



# 3
Computed, not measured: a crystal of BaCeI4 relaxed with PBEsol at the meta-GGA SCAN level of DFT.

Calculated volume in A^3/atom: 39.10
Density of states at the Fermi level in states/eV per atom: 0.731
Uncorrected formation energy in meV per atom: -1717.1

Unit cell a=10.201 b=14.852 c=7.336 alpha=90.00 beta=122.41 gamma=90.00
Space group C2/c (No. 15)
Asymmetric unit:
Ba 0.000 0.134 0.250 [4 per cell]
Ce 0.000 0.499 0.250 [4 per cell]
I 0.113 0.327 0.585 [8 per cell]
I 0.205 0.064 0.783 [8 per cell]



# 4
Computed, not measured: a crystal of Ba3Ce2O6 relaxed with PBEsol at the meta-GGA SCAN level of DFT.

Calculated volume in A^3/atom: 19.68
Density of states at the Fermi level in states/eV per atom: 0.630
Uncorrected formation energy in meV per atom: -3124.0

Unit cell a=4.476 b=4.476 c=21.605 alpha=90.00 beta=90.00 gamma=90.00
Space group I4/mmm (No. 139)
Asymmetric unit:
Ba 0.000 0.000 0.000 [2 per cell]
Ba 0.000 0.000 0.183 [4 per cell]
Ce 0.000 0.000 0.400 [4 per cell]
O 0.000 0.000 0.299 [4 per cell]
O 0.000 0.500 0.088 [8 per cell]



# 5
Computed, not measured: a crystal of Ba4Ce2O7 relaxed with PBEsol at the meta-GGA SCAN level of DFT.

Calculated volume in A^3/atom: 19.90
Density of states at the Fermi level in states/eV per atom: 0.543
Uncorrected formation energy in meV per atom: -3052.2

Unit cell a=14.059 b=6.195 c=11.882 alpha=90.00 beta=90.00 gamma=90.00
Space group Cmce (No. 64)
Asymmetric unit:
Ba 0.155 0.205 0.123 [16 per cell]
Ce 0.000 0.230 0.372 [8 per cell]
O 0.000 0.000 0.000 [4 per cell]
O 0.000 0.098 0.710 [8 per cell]
O 0.162 0.242 0.879 [16 per cell]



# 6
Computed, not measured: a crystal of Ba3CeRu2O9 relaxed with PBEsol at the meta-GGA SCAN level of DFT.

Calculated volume in A^3/atom: 14.50
Density of states at the Fermi level in states/eV per atom: 0.362
Uncorrected formation energy in meV per atom: -2525.4

Unit cell a=5.8642 b=5.8642 c=14.6046 alpha=90.00 beta=90.00 gamma=120.00
Space group P6_3/mmc (No. 194)
Asymmetric unit:
Ba 0.0000 0.0000 0.2500 [2 per cell]
Ba 0.3333 0.6667 0.0992 [4 per cell]
Ce 0.0000 0.0000 0.0000 [2 per cell]
Ru 0.3333 0.6667 0.6657 [4 per cell]
O 0.0196 0.5098 0.7500 [6 per cell]
O 0.1760 0.3520 0.5884 [12 per cell]



# 7
Computed, not measured: a crystal of Ba8Ce3Sb4O24 relaxed with PBEsol at the meta-GGA SCAN level of DFT.

Calculated volume in A^3/atom: 15.64
Density of states at the Fermi level in states/eV per atom: 0.000
Uncorrected formation energy in meV per atom: -2815.4

Unit cell a=8.471 b=8.471 c=17.004 alpha=90.00 beta=90.00 gamma=90.00
Space group I4/mmm (No. 139)
Asymmetric unit:
Ba 0.229 0.229 0.116 [16 per cell]
Ce 0.000 0.000 0.500 [2 per cell]
Ce 0.000 0.500 0.250 [4 per cell]
Sb 0.000 0.000 0.254 [4 per cell]
Sb 0.000 0.500 0.000 [4 per cell]
O 0.000 0.000 0.139 [4 per cell]
O 0.000 0.000 0.371 [4 per cell]
O 0.000 0.239 0.253 [16 per cell]
O 0.000 0.260 0.500 [8 per cell]
O 0.000 0.271 0.000 [8 per cell]
O 0.000 0.500 0.120 [8 per cell]



# 8
Computed, not measured: a crystal of BaCl2 relaxed with PBEsol at the meta-GGA SCAN level of DFT.

Calculated volume in A^3/atom: 28.74
Density of states at the Fermi level in states/eV per atom: 0.000
Uncorrected formation energy in meV per atom: -2773.4

Unit cell a=4.562 b=10.557 c=7.161 alpha=90.00 beta=90.00 gamma=90.00
Space group Cmc2_1 (No. 36)
Asymmetric unit:
Ba 0.000 0.116 0.000 [4 per cell]
Cl 0.000 0.190 0.555 [4 per cell]
Cl 0.000 0.485 0.772 [4 per cell]



Q: Which formula does entry 4 have?
A: Ba3Ce2O6